# PrY6Ho, optimized geometry, DFT PBE
# Electronic total energy (eV/atom): -6.00
# Fermi-level density of states (states/eV per cell): 12.3
# ρ (g/cm3): 5.36
# Energy of formation (eV/atom): 0.0226
# Distance to the lowest polymorph of the same formula (meV/atom): 0
data_PrY6Ho
_chemical_formula_sum 'Pr1 Y6 Ho1'
_symmetry_space_group_name_H-M 'P -1'
_symmetry_Int_Tables_number 2
_symmetry_space_group_name_Hall '-P 1'
_cell_length_a 6.2063
_cell_length_b 6.2066
_cell_length_c 7.1687
_cell_angle_alpha 73.18
_cell_angle_beta 89.95
_cell_angle_gamma 80.34
loop_
_atom_site_label
_atom_site_type_symbol
_atom_site_fract_x
_atom_site_fract_y
_atom_site_fract_z
Pr1 Pr 0.0000 0.0000 0.0000
Y1 Y 0.2492 0.5003 0.3758
Y2 Y 0.2498 0.5021 0.8739
Y3 Y 0.4995 0.0014 0.7484
Ho1 Ho 0.0000 0.0000 0.5000